[1]
Here is Cd2Ag7SnAu2 after structural relaxation from Alexandria via LeMat-Bulk. Energies are from PBE.

Unit cell a=10.8772 b=10.8772 c=4.6750 alpha=102.40 beta=102.40 gamma=24.82
Fractional coordinates of all 12 atoms:
1 Cd 0.1681 0.1681 0.1663
2 Cd 0.8319 0.8319 0.8337
3 Ag 0.0000 0.0000 0.0000
4 Ag 0.0843 0.0843 0.5823
5 Ag 0.3323 0.3323 0.3311
6 Ag 0.4157 0.4157 0.9145
7 Ag 0.5843 0.5843 0.0855
8 Ag 0.6677 0.6677 0.6689
9 Ag 0.9157 0.9157 0.4177
10 Sn 0.5000 0.5000 0.5000
11 Au 0.2500 0.2500 0.7487
12 Au 0.7500 0.7500 0.2513

Results
space-group type: No. 12
spin magnetization: 0.00 μB per atom
D(E_F): 0.245 states/eV/atom
formation enthalpy at 0 K: -45 kJ/mol of formula units

---

[2]
Here is Sr2Cd3AgAu4 after structural relaxation from Alexandria via LeMat-Bulk. Energies are from PBE.

Unit cell a=4.5110 b=4.5110 c=12.2589 alpha=90.00 beta=90.00 gamma=90.00
Fractional coordinates of all 10 atoms:
1 Sr 0.0000 0.5000 0.2468
2 Sr 0.5000 0.0000 0.7532
3 Cd 0.0000 0.0000 0.0000
4 Cd 0.0000 0.5000 0.6341
5 Cd 0.5000 0.0000 0.3659
6 Ag 0.5000 0.5000 0.0000
7 Au 0.0000 0.0000 0.5000
8 Au 0.0000 0.5000 0.8563
9 Au 0.5000 0.0000 0.1437
10 Au 0.5000 0.5000 0.5000

Results
space-group type: No. 115
spin magnetization: 0.00 μB per atom
D(E_F): 0.495 states/eV/atom
formation enthalpy at 0 K: -386 kJ/mol of formula units

---

[3]
Here is SrCd2AgAu after structural relaxation from Alexandria via LeMat-Bulk. Energies are from PBE.

Unit cell a=7.2082 b=7.2082 c=7.2082 alpha=146.26 beta=142.43 gamma=51.38
Fractional coordinates of all 5 atoms:
1 Sr 0.0000 0.0000 0.0000
2 Cd 0.3715 0.3715 0.0000
3 Cd 0.7358 0.2358 0.5000
4 Ag 0.2203 0.7203 0.5000
5 Au 0.5842 0.5842 0.0000

Results
space-group type: No. 44
spin magnetization: 0.00 μB per atom
D(E_F): 0.287 states/eV/atom
formation enthalpy at 0 K: -171 kJ/mol of formula units

---

[4]
Here is Sr2Cd3Ag12Au after structural relaxation from Alexandria via LeMat-Bulk. Energies are from PBE.

Unit cell a=10.7758 b=10.7758 c=10.7758 alpha=38.64 beta=38.64 gamma=38.64
Fractional coordinates of all 18 atoms:
1 Sr 0.1516 0.1516 0.1516
2 Sr 0.8484 0.8484 0.8484
3 Cd 0.0000 0.5000 0.5000
4 Cd 0.5000 0.0000 0.5000
5 Cd 0.5000 0.5000 0.0000
6 Ag 0.0783 0.0783 0.6901
7 Ag 0.0783 0.6901 0.0783
8 Ag 0.1475 0.5706 0.5706
9 Ag 0.3099 0.9217 0.9217
10 Ag 0.4294 0.4294 0.8525
11 Ag 0.4294 0.8525 0.4294
12 Ag 0.5706 0.1475 0.5706
13 Ag 0.5706 0.5706 0.1475
14 Ag 0.6901 0.0783 0.0783
15 Ag 0.8525 0.4294 0.4294
16 Ag 0.9217 0.3099 0.9217
17 Ag 0.9217 0.9217 0.3099
18 Au 0.5000 0.5000 0.5000

Results
space-group type: No. 166
spin magnetization: 0.00 μB per atom
D(E_F): 0.262 states/eV/atom
formation enthalpy at 0 K: 92 kJ/mol of formula units

---

[5]
Here is Sr2Cd4Ag3Au after structural relaxation from Alexandria via LeMat-Bulk. Energies are from PBE.

Unit cell a=4.7745 b=4.7745 c=11.4080 alpha=90.00 beta=90.00 gamma=90.00
Fractional coordinates of all 10 atoms:
1 Sr 0.0000 0.5000 0.2386
2 Sr 0.5000 0.0000 0.7614
3 Cd 0.0000 0.0000 0.5000
4 Cd 0.0000 0.5000 0.8726
5 Cd 0.5000 0.0000 0.1274
6 Cd 0.5000 0.5000 0.5000
7 Ag 0.0000 0.0000 0.0000
8 Ag 0.0000 0.5000 0.6351
9 Ag 0.5000 0.0000 0.3649
10 Au 0.5000 0.5000 0.0000

Results
space-group type: No. 115
spin magnetization: 0.00 μB per atom
D(E_F): 0.202 states/eV/atom
formation enthalpy at 0 K: -261 kJ/mol of formula units

---

[6]
Here is Sr3Cd2Ag2Au4 after structural relaxation from Alexandria via LeMat-Bulk. Energies are from PBE.

Unit cell a=4.8003 b=4.8003 c=14.8450 alpha=90.00 beta=90.00 gamma=120.00
Fractional coordinates of all 11 atoms:
1 Sr 0.0000 0.0000 0.0000
2 Sr 0.0000 0.0000 0.2698
3 Sr 0.0000 0.0000 0.7302
4 Cd 0.3333 0.6667 0.5701
5 Cd 0.6667 0.3333 0.4299
6 Ag 0.3333 0.6667 0.1410
7 Ag 0.6667 0.3333 0.8590
8 Au 0.3333 0.6667 0.3775
9 Au 0.3333 0.6667 0.8699
10 Au 0.6667 0.3333 0.1301
11 Au 0.6667 0.3333 0.6225

Results
space-group type: No. 164
spin magnetization: 0.00 μB per atom
D(E_F): 0.353 states/eV/atom
formation enthalpy at 0 K: -514 kJ/mol of formula units